First-principles (GGA-PBE) data for an optimized crystal structure of ZrOsRu2, as listed in Alexandria.

Calculated values
SG: R3m
N(E_F), states/eV/cell: 6.18
Formation energy from the elements, eV/atom: 0.226
E_tot, eV per atom: -9.36
Magnetization, μB per cell: 0.000
Energy relative to the lowest polymorph listed for this composition, meV/atom: 326

```
ZrOsRu2
1.0
1.3890 0.8020 9.4254
-1.3890 0.8020 9.4254
0.0000 -1.6039 9.4254
Zr Os Ru
1 1 2
direct
0.0000 0.0000 0.0000
0.2421 0.2421 0.2421
0.4996 0.4996 0.4996
0.7566 0.7566 0.7566
```